(1)
Below is an optimized crystal structure of Be2ReOs, with properties calculated at the PBE level.

Values from the calculation:
The electronic total energy comes out at -58.338 eV/cell. For the energy above the most stable polymorph in this dataset, the calculation gives 61.7 kJ per mole of atoms. The density of states at the Fermi level comes out at 4.8 states/eV per cell. The formation enthalpy at 0 K is 0.4903 eV per atom.

Cell lengths 6.101, 6.101, 5.031 Å; angles 52.67, 52.67, 90.00 degrees
Element x y z (fractional)
Os  0.000  0.000  0.000
Os  0.750  0.250  0.500
Re  0.250  0.750  0.500
Re  0.500  0.500  0.000
Be  0.119  0.625  0.250
Be  0.631  0.125  0.250
Be  0.375  0.369  0.750
Be  0.875  0.881  0.750

=====

(2)
Below is an optimized crystal structure of NaScBr3, with properties calculated at the PBE level.

Values from the calculation:
The electronic total energy comes out at -16.142 eV/cell. The formation energy (no corrections) is -67 kJ per mole of atoms. For the energy above the most stable polymorph in this dataset, the calculation gives 76.9 kJ per mole of atoms. The density of states at the Fermi level comes out at 6.8 states/eV per cell.

Cell lengths 5.291, 5.291, 5.291 Å; angles 90.00, 90.00, 90.00 degrees
Element x y z (fractional)
Br  0.000  0.500  0.000
Br  0.000  0.000  0.500
Br  0.500  0.000  0.000
Sc  0.500  0.500  0.500
Na  0.000  0.000  0.000

=====

(3)
Below is an optimized crystal structure of SrCrReSe2, with properties calculated at the PBE level.

Values from the calculation:
The electronic total energy comes out at -30.597 eV/cell. The formation energy (no corrections) is 2 kJ per mole of atoms. The density of states at the Fermi level comes out at 1.8 states/eV per cell.

Cell lengths 5.115, 4.715, 5.115 Å; angles 90.00, 90.00, 90.00 degrees
Element x y z (fractional)
Se  0.500  0.000  0.000
Se  0.000  0.000  0.500
Sr  0.500  0.500  0.500
Cr  0.000  0.500  0.000
Re  0.000  0.000  0.000

=====

(4)
Below is an optimized crystal structure of LaCdCl2, with properties calculated at the PBE level.

Values from the calculation:
The electronic total energy comes out at -12.972 eV/cell. The formation energy (no corrections) is -83 kJ per mole of atoms. For the energy above the most stable polymorph in this dataset, the calculation gives 55.2 kJ per mole of atoms. The density of states at the Fermi level comes out at 2.9 states/eV per cell.

Cell lengths 10.799, 10.799, 10.799 Å; angles 21.07, 21.07, 21.07 degrees
Element x y z (fractional)
Cl  0.917  0.917  0.917
Cl  0.083  0.083  0.083
La  0.000  0.000  0.000
Cd  0.500  0.500  0.500

=====

(5)
Below is an optimized crystal structure of CaHg2MoW, with properties calculated at the PBE level.

Values from the calculation:
The electronic total energy comes out at -15.753 eV/cell. The density of states at the Fermi level comes out at 7.9 states/eV per cell. The formation enthalpy at 0 K is 2.1273 eV per atom.

Cell lengths 5.205, 5.003, 5.205 Å; angles 90.00, 90.00, 90.00 degrees
Element x y z (fractional)
Ca  0.000  0.500  0.000
Hg  0.500  0.000  0.000
Hg  0.000  0.000  0.500
W  0.500  0.500  0.500
Mo  0.000  0.000  0.000

=====

(6)
Below is an optimized crystal structure of CuGeBiSb2, with properties calculated at the PBE level.

Values from the calculation:
The electronic total energy comes out at -16.091 eV/cell. The formation energy (no corrections) is 92 kJ per mole of atoms. The density of states at the Fermi level comes out at 4.0 states/eV per cell.

Cell lengths 5.324, 5.520, 5.324 Å; angles 90.00, 90.00, 90.00 degrees
Element x y z (fractional)
Bi  0.000  0.500  0.000
Cu  0.500  0.500  0.500
Sb  0.500  0.000  0.000
Sb  0.000  0.000  0.500
Ge  0.000  0.000  0.000